[1]
DFT (PBE-GGA) results for a geometry-optimized KLi2Cu structure.

The structure in POSCAR format:
```
KLi2Cu
1.0
-2.445 1.425 -6.192
1.487 -0.674 -6.610
-2.214 -3.018 -5.687
Cu K Li
1 1 2
direct
0.250 0.250 0.250
0.750 0.750 0.750
0.945 0.945 0.945
0.555 0.555 0.555
```

The value obtained for the calculated formation energy is 167 meV per atom. The calculated volume is 109.3 Å³/cell. The calculation puts the distance to the lowest polymorph of the same formula at 0.0 meV/atom. The value obtained for the raw total energy is -8.355 eV per cell.



[2]
DFT (PBE-GGA) results for a geometry-optimized KCdPb2 structure.

The structure in POSCAR format:
```
KCdPb2
1.0
5.292 0.000 0.000
0.000 8.049 0.000
0.000 0.000 12.507
K Cd Pb
4 4 8
direct
0.750 0.723 0.323
0.750 0.223 0.177
0.250 0.277 0.677
0.250 0.777 0.823
0.250 0.038 0.419
0.750 0.962 0.581
0.250 0.538 0.081
0.750 0.462 0.919
0.750 0.815 0.023
0.250 0.185 0.977
0.750 0.315 0.477
0.250 0.685 0.523
0.750 0.104 0.834
0.250 0.396 0.334
0.750 0.604 0.666
0.250 0.896 0.166
```

The value obtained for the calculated formation energy is -107 meV per atom. The calculated volume is 532.7 Å³/cell. The value obtained for the raw total energy is -39.435 eV per cell.



[3]
DFT (PBE-GGA) results for a geometry-optimized Co2ReBiS structure.

The structure in POSCAR format:
```
Co2ReBiS
1.0
4.259 0.000 0.000
0.000 4.489 0.000
0.000 0.000 4.259
Re S Co Bi
1 1 2 1
direct
0.000 0.500 0.000
0.000 0.000 0.000
0.000 0.000 0.500
0.500 0.000 0.000
0.500 0.500 0.500
```

The formation energy (no corrections) is 0.592 eV/atom. The calculated volume is 81.4 Å³/cell. The value obtained for the raw total energy is -31.706 eV per cell.



[4]
DFT (PBE-GGA) results for a geometry-optimized LaPr6Y3Ho2 structure.

The structure in POSCAR format:
```
LaPr6Y3Ho2
1.0
-5.375 -0.752 3.280
4.644 -4.290 0.495
4.892 7.751 7.753
La Pr Y Ho
1 6 3 2
direct
0.000 0.000 0.000
0.916 0.582 0.749
0.750 0.750 0.251
0.084 0.418 0.251
0.582 0.916 0.749
0.250 0.250 0.749
0.418 0.084 0.251
0.167 0.833 0.500
0.833 0.167 0.500
0.500 0.500 0.500
0.334 0.666 0.000
0.666 0.334 0.000
```

The value obtained for the calculated formation energy is 14 meV per atom. The calculated volume is 411.5 Å³/cell. The value obtained for the raw total energy is -61.990 eV per cell.



[5]
DFT (PBE-GGA) results for a geometry-optimized KLi2Os structure.

The structure in POSCAR format:
```
KLi2Os
1.0
-0.661 1.495 -2.058
2.782 -2.726 -2.873
-4.640 -3.572 -1.103
K Li Os
1 2 1
direct
0.500 0.500 0.756
0.000 0.000 0.017
0.500 0.500 0.296
0.000 0.000 0.431
```

The value obtained for the calculated formation energy is 690 meV per atom. The calculated volume is 75.8 Å³/cell. The calculation puts the distance to the lowest polymorph of the same formula at 121.5 meV/atom. The value obtained for the raw total energy is -13.395 eV per cell.



[6]
DFT (PBE-GGA) results for a geometry-optimized TmMgCd4 structure.

The structure in POSCAR format:
```
TmMgCd4
1.0
-2.057 -4.431 3.177
3.068 -2.009 4.529
-1.877 0.937 5.437
Mg Tm Cd
1 1 4
direct
0.250 0.250 0.250
0.000 0.000 0.000
0.625 0.625 0.124
0.625 0.124 0.625
0.625 0.625 0.625
0.124 0.625 0.625
```

The value obtained for the calculated formation energy is -88 meV per atom. The calculated volume is 139.9 Å³/cell. The calculation puts the distance to the lowest polymorph of the same formula at 107.8 meV/atom. The value obtained for the raw total energy is -10.257 eV per cell.



What did the first record say?
DFT (PBE-GGA) results for a geometry-optimized KLi2Cu structure.

The structure in POSCAR format:
```
KLi2Cu
1.0
-2.445 1.425 -6.192
1.487 -0.674 -6.610
-2.214 -3.018 -5.687
Cu K Li
1 1 2
direct
0.250 0.250 0.250
0.750 0.750 0.750
0.945 0.945 0.945
0.555 0.555 0.555
```

The value obtained for the calculated formation energy is 167 meV per atom. The calculated volume is 109.3 Å³/cell. The calculation puts the distance to the lowest polymorph of the same formula at 0.0 meV/atom. The value obtained for the raw total energy is -8.355 eV per cell.



Q: Which value of calculated volume does entry 3 give?
A: 81.4 Å³/cell



Q: Among the records above, which one has the lowest raw total energy?
A: LaPr6Y3Ho2



Q: Look up the raw total energy of the third one.
A: -31.706 eV per cell